First-principles (GGA-PBE) data for a relaxed structure of La2TbCe3P6, as listed in Alexandria via LeMat-Bulk.

Cell lengths 7.172, 7.172, 7.173 Å; angles 99.60, 99.60, 120.00 degrees
Atoms (fractional coordinates):
La1 0.166 0.834 0.000
La2 0.834 0.166 0.000
Tb1 0.500 0.500 0.000
Ce1 0.000 0.000 0.500
Ce2 0.332 0.668 0.500
Ce3 0.668 0.332 0.500
P1 0.088 0.414 0.742
P2 0.261 0.261 0.259
P3 0.414 0.088 0.742
P4 0.586 0.912 0.258
P5 0.739 0.739 0.741
P6 0.912 0.586 0.258

Values from the calculation:
For the formation energy, the calculation gives -1.5354 eV per atom. For the density, the calculation gives 5.75 g cm⁻³. The value obtained for the total energy is -83.2 eV for the cell shown.


First-principles (GGA-PBE) data for a relaxed structure of Na2TaBeO4, as listed in Alexandria via LeMat-Bulk.

Cell lengths 5.141, 5.141, 5.141 Å; angles 115.59, 115.59, 97.83 degrees
Atoms (fractional coordinates):
Na1 0.000 0.000 0.000
Na2 0.750 0.250 0.500
Ta1 0.500 0.500 0.000
Be1 0.250 0.750 0.500
O1 0.254 0.099 0.565
O2 0.311 0.746 0.845
O3 0.534 0.689 0.435
O4 0.901 0.466 0.155

Values from the calculation:
For the density, the calculation gives 4.91 g cm⁻³. The raw formation energy is -2.17 eV/atom. The value obtained for the total energy is -55.4 eV for the cell shown.